Density functional theory data (PBE-GGA) for EuCo2C after structural relaxation.

The structure in POSCAR format:
```
EuCo2C
1.0
3.5189 0.0000 0.0000
1.7594 3.0474 0.0000
1.7594 1.0158 5.2451
Co Eu C
2 1 1
direct
0.8036 0.8036 0.5892 Co
0.1964 0.1964 0.4108 Co
0.0000 0.0000 0.0000 Eu
0.5000 0.5000 0.5000 C
```

Calculated values
Total energy: -8.111 eV/atom
Formation enthalpy at 0 K: 317 meV/atom